Computed, not measured: a crystal of Re2PRu relaxed with PBEsol at the meta-GGA SCAN level of DFT.

The structure in extended XYZ format:
```
4
Lattice="-0.375 -2.507 -1.123 2.353 -1.560 2.698 -3.795 0.344 3.509" Properties=species:S:1:pos:R:3 pbc="T T T"
P -0.908 -1.862 2.542
Re -3.114 -1.921 1.605
Re -1.055 -0.242 0.780
Ru 0.989 -2.034 0.787
```

- Energy relative to the elements: 79 meV per atom
- Crystal system: monoclinic
- Total magnetic moment: 0.00 μB per cell

Computed, not measured: a crystal of MgIn2Ag relaxed with PBEsol at the meta-GGA SCAN level of DFT.

The structure in extended XYZ format:
```
4
Lattice="-3.676 -2.045 -1.191 1.421 -3.666 1.911 -0.770 4.079 3.397" Properties=species:S:1:pos:R:3 pbc="T T T"
Mg -1.127 -2.856 0.360
Ag 0.000 0.000 0.000
In -2.787 -0.411 1.283
In -0.238 -1.221 2.834
```

- Energy relative to the elements: -72 meV per atom
- Crystal system: tetragonal
- Total magnetic moment: 0.00 μB per cell

Computed, not measured: a crystal of BaSr5 relaxed with PBEsol at the meta-GGA SCAN level of DFT.

The structure in extended XYZ format:
```
6
Lattice="-1.051 1.770 -3.677 -2.647 -3.186 -0.777 -13.185 8.981 8.092" Properties=species:S:1:pos:R:3 pbc="T T T"
Sr -10.905 7.428 6.692
Sr -2.280 1.553 1.399
Sr -10.590 5.246 3.137
Sr -6.293 2.319 0.500
Sr -6.592 4.490 4.046
Ba -1.849 -0.708 -2.227
```

- Energy relative to the elements: 10 meV per atom
- Crystal system: tetragonal
- Energy above the lowest structure with this stoichiometry: 1.91 kJ per mole of atoms
- Total magnetic moment: 0.71 μB per cell

Computed, not measured: a crystal of NiMo2W relaxed with PBEsol at the meta-GGA SCAN level of DFT.

The structure in extended XYZ format:
```
4
Lattice="2.655 0.005 0.000 -0.704 2.560 0.000 0.000 0.000 8.363" Properties=species:S:1:pos:R:3 pbc="T T T"
Ni 0.975 1.282 4.182
Mo 0.000 0.000 2.240
Mo 0.000 0.000 6.124
W 0.975 1.282 0.000
```

- Energy relative to the elements: 72 meV per atom
- Crystal system: orthorhombic
- Energy above the lowest structure with this stoichiometry: 0.00 kJ per mole of atoms
- Total magnetic moment: 0.00 μB per cell